This record from Alexandria via LeMat-Bulk describes a geometry-optimized TbPmSnIr structure. The functional is PBE.

Output
The value obtained for the energy above the lowest structure with this stoichiometry is 146.7 meV per atom. Its magnetization is 0.00 Bohr magnetons per cell. The space group is F-43m, No. 216. As for the density of states at the Fermi level: 3.06 states/eV per cell.

Cell lengths 5.170, 5.170, 5.170 Å; angles 60.00, 60.00, 60.00 degrees
Positions (direct):
Ir: 0.750 0.750 0.750
Tb: 0.000 0.000 0.000
Sn: 0.250 0.250 0.250
Pm: 0.500 0.500 0.500

This record from Alexandria via LeMat-Bulk describes a geometry-optimized SmY3O structure. The functional is PBE.

Output
The value obtained for the energy above the lowest structure with this stoichiometry is 37.2 meV per atom. Its magnetization is 0.00 Bohr magnetons per cell. The value obtained for the uncorrected formation energy is -1.059 eV per atom. The space group is Pm-3m, No. 221. As for the density of states at the Fermi level: 6.65 states/eV per cell.

Cell lengths 4.984, 4.984, 4.984 Å; angles 90.00, 90.00, 90.00 degrees
Positions (direct):
Y: 0.000 0.500 0.000
Y: 0.000 0.000 0.500
Y: 0.500 0.000 0.000
O: 0.000 0.000 0.000
Sm: 0.500 0.500 0.500

VASP energy list, top to bottom, in eV per cell: -24.42; -34.36